Entry 1:
# NiBiSe3 | Alexandria | PBE | optimized geometry
# SG: No. 221
# Relative energy among the computed polymorphs: 0.961 eV/atom
# Total moment: 2.15 Bohr magnetons per cell
data_NiBiSe3
_chemical_formula_sum 'Ni1 Bi1 Se3'
_space_group_name_H-M_alt 'P 1'
_space_group_IT_number 1
_space_group_name_Hall 'P 1'
_cell_length_a 5.4796
_cell_length_b 5.4796
_cell_length_c 5.4796
_cell_angle_alpha 90.00
_cell_angle_beta 90.00
_cell_angle_gamma 90.00
loop_
_atom_site_label
_atom_site_type_symbol
_atom_site_fract_x
_atom_site_fract_y
_atom_site_fract_z
Se1 Se 0.5000 0.0000 0.0000
Bi1 Bi 0.0000 0.0000 0.0000
Se2 Se 0.0000 0.0000 0.5000
Se3 Se 0.0000 0.5000 0.0000
Ni1 Ni 0.5000 0.5000 0.5000

---

Entry 2:
# MnInTc2Sb | Alexandria | PBE | optimized geometry
# SG: No. 123
# Total moment: 2.88 Bohr magnetons per cell
data_MnInTc2Sb
_chemical_formula_sum 'Mn1 In1 Tc2 Sb1'
_space_group_name_H-M_alt 'P 1'
_space_group_IT_number 1
_space_group_name_Hall 'P 1'
_cell_length_a 4.8605
_cell_length_b 5.3869
_cell_length_c 4.8605
_cell_angle_alpha 90.00
_cell_angle_beta 90.00
_cell_angle_gamma 90.00
loop_
_atom_site_label
_atom_site_type_symbol
_atom_site_fract_x
_atom_site_fract_y
_atom_site_fract_z
Mn1 Mn 0.5000 0.5000 0.5000
Tc1 Tc 0.5000 0.0000 0.0000
Tc2 Tc 0.0000 0.0000 0.5000
Sb1 Sb 0.0000 0.0000 0.0000
In1 In 0.0000 0.5000 0.0000

---

Entry 3:
# BeSi2Cl | Alexandria | PBE | optimized geometry
# SG: No. 123
# Relative energy among the computed polymorphs: 0.298 eV/atom
# Total moment: 0.00 Bohr magnetons per cell
data_BeSi2Cl
_chemical_formula_sum 'Be1 Si2 Cl1'
_space_group_name_H-M_alt 'P 1'
_space_group_IT_number 1
_space_group_name_Hall 'P 1'
_cell_length_a 2.7552
_cell_length_b 2.7552
_cell_length_c 8.1839
_cell_angle_alpha 90.00
_cell_angle_beta 90.00
_cell_angle_gamma 90.00
loop_
_atom_site_label
_atom_site_type_symbol
_atom_site_fract_x
_atom_site_fract_y
_atom_site_fract_z
Si1 Si 0.0000 0.0000 0.4347
Cl1 Cl 0.5000 0.5000 0.7500
Be1 Be 0.5000 0.5000 0.2500
Si2 Si 0.0000 0.0000 0.0653

---

Number 1: total DFT energy (no corrections) -14.975 eV/f.u., uncorrected formation energy 5.14 eV/f.u.. Number 2: total DFT energy (no corrections) -25.769 eV/f.u., uncorrected formation energy 10.99 eV/f.u.. Number 3: total DFT energy (no corrections) -14.505 eV/f.u., uncorrected formation energy 1.91 eV/f.u..